[1]
Material: CeZn3Pd2
Method: DFT, GGA-PBE
State: optimized geometry

Cell: 5.324 5.324 4.382 Å, 90.00 90.00 120.00°
Site moments in Bohr magnetons follow the coordinates.
Sites, in units of the cell vectors:
Ce (0.000, 0.000, 0.000)  0.79
Zn (0.000, 0.500, 0.500)  0.02
Zn (0.500, 0.500, 0.500)  0.02
Zn (0.500, 0.000, 0.500)  0.02
Pd (0.333, 0.667, 0.000)  0.02
Pd (0.667, 0.333, 0.000)  0.02

## Properties
- space group = P6/mmm (191)
- offset from the most stable computed form (meV/atom) = 0

---

[2]
Material: NaAlCd11
Method: DFT, GGA-PBE
State: optimized geometry

Cell: 5.909 7.777 7.677 Å, 81.81 67.37 68.27°
Sites, in units of the cell vectors:
Na (0.000, 0.000, 0.000)
Al (0.500, 0.500, 0.000)
Cd (0.296, 0.217, 0.212)
Cd (0.704, 0.783, 0.788)
Cd (0.493, 0.783, 0.212)
Cd (0.507, 0.217, 0.788)
Cd (0.355, 0.646, 0.653)
Cd (0.645, 0.354, 0.347)
Cd (0.991, 0.354, 0.653)
Cd (0.009, 0.646, 0.347)
Cd (0.000, 0.500, 0.000)
Cd (0.500, 0.000, 0.500)
Cd (0.000, 0.000, 0.500)

## Properties
- space group = C2/m (12)
- total DFT energy (no corrections) (eV/atom) = -1.16

---

[3]
Material: K2Pb5Au3
Method: DFT, GGA-PBE
State: optimized geometry

Cell: 4.957 7.926 14.829 Å, 90.00 99.62 90.00°
Sites, in units of the cell vectors:
K (0.479, 0.761, 0.958)
K (0.175, 0.723, 0.350)
K (0.825, 0.223, 0.650)
K (0.521, 0.261, 0.042)
Pb (0.403, 0.399, 0.806)
Pb (0.293, 0.513, 0.586)
Pb (0.707, 0.013, 0.414)
Pb (0.122, 0.252, 0.245)
Pb (0.295, 0.924, 0.590)
Pb (0.947, 0.087, 0.894)
Pb (0.705, 0.424, 0.410)
Pb (0.878, 0.752, 0.755)
Pb (0.053, 0.587, 0.106)
Pb (0.597, 0.899, 0.194)
Au (0.775, 0.717, 0.550)
Au (0.608, 0.524, 0.215)
Au (0.047, 0.965, 0.094)
Au (0.225, 0.217, 0.450)
Au (0.953, 0.465, 0.906)
Au (0.392, 0.024, 0.785)

## Properties
- space group = Cmc2_1 (36)
- offset from the most stable computed form (meV/atom) = 0